(1)
# HfScAl3, optimized geometry, DFT PBE
# Total magnetization = 0.00 μB per cell
# VASP energy = -22.6 eV/cell
# Fermi-level density of states = 4.58 states/eV/cell
# Calculated formation energy = 94.0 kJ/mol of atoms
data_HfScAl3
_chemical_formula_sum 'Hf1 Sc1 Al3'
_symmetry_space_group_name_H-M 'P m -3 m'
_symmetry_Int_Tables_number 221
_symmetry_space_group_name_Hall '-P 4 2 3'
_cell_length_a 4.879
_cell_length_b 4.879
_cell_length_c 4.879
_cell_angle_alpha 90.00
_cell_angle_beta 90.00
_cell_angle_gamma 90.00
loop_
_atom_site_label
_atom_site_type_symbol
_atom_site_fract_x
_atom_site_fract_y
_atom_site_fract_z
Hf1 Hf 0.000 0.000 0.000
Sc1 Sc 0.500 0.500 0.500
Al1 Al 0.000 0.500 0.500

(2)
# TlTcBr2, optimized geometry, DFT PBE
# Total magnetization = 0.00 μB per cell
# VASP energy = -44.0 eV/cell
# Fermi-level density of states = 8.85 states/eV/cell
# Energy relative to the elements, uncorrected = 0.353 eV/atom
data_TlTcBr2
_chemical_formula_sum 'Tl3 Tc3 Br6'
_symmetry_space_group_name_H-M 'R -3 m'
_symmetry_Int_Tables_number 166
_symmetry_space_group_name_Hall '-R 3 2"'
_cell_length_a 3.2868
_cell_length_b 3.2868
_cell_length_c 31.7162
_cell_angle_alpha 90.00
_cell_angle_beta 90.00
_cell_angle_gamma 120.00
loop_
_atom_site_label
_atom_site_type_symbol
_atom_site_fract_x
_atom_site_fract_y
_atom_site_fract_z
Tl1 Tl 0.0000 0.0000 0.0000
Tc1 Tc 0.0000 0.0000 0.5000
Br1 Br 0.0000 0.0000 0.4250

(3)
# Tl4Ga2Pb3, optimized geometry, DFT PBE
# Total magnetization = 0.00 μB per cell
# VASP energy = -52.4 eV/cell
# Fermi-level density of states = 8.42 states/eV/cell
# Calculated formation energy = 4.7 kJ/mol of atoms
data_Tl4Ga2Pb3
_chemical_formula_sum 'Tl8 Ga4 Pb6'
_symmetry_space_group_name_H-M 'C 1 2/m 1'
_symmetry_Int_Tables_number 12
_cell_length_a 12.593
_cell_length_b 3.607
_cell_length_c 11.968
_cell_angle_alpha 90.00
_cell_angle_beta 108.14
_cell_angle_gamma 90.00
loop_
_symmetry_equiv_pos_as_xyz
'x,y,z'
'-x,-y,-z'
'-x,y,-z'
'x,-y,z'
'x+1/2,y+1/2,z'
'-x+1/2,-y+1/2,-z'
'-x+1/2,y+1/2,-z'
'x+1/2,-y+1/2,z'
loop_
_atom_site_label
_atom_site_type_symbol
_atom_site_fract_x
_atom_site_fract_y
_atom_site_fract_z
Tl1 Tl 0.019 0.000 0.344
Tl2 Tl 0.174 0.500 0.879
Ga1 Ga 0.151 0.500 0.206
Pb1 Pb 0.000 0.000 0.000
Pb2 Pb 0.189 0.500 0.587

(4)
# BaMnRe2, optimized geometry, DFT PBE
# Total magnetization = 2.89 μB per cell
# VASP energy = -32.2 eV/cell
# Fermi-level density of states = 3.76 states/eV/cell
# Calculated formation energy = 90.7 kJ/mol of atoms
data_BaMnRe2
_chemical_formula_sum 'Ba1 Mn1 Re2'
_symmetry_space_group_name_H-M 'P 1 2/m 1'
_symmetry_Int_Tables_number 10
_cell_length_a 3.715
_cell_length_b 4.568
_cell_length_c 6.232
_cell_angle_alpha 90.00
_cell_angle_beta 103.36
_cell_angle_gamma 90.00
loop_
_symmetry_equiv_pos_as_xyz
'x,y,z'
'-x,-y,-z'
'-x,y,-z'
'x,-y,z'
loop_
_atom_site_label
_atom_site_type_symbol
_atom_site_fract_x
_atom_site_fract_y
_atom_site_fract_z
Ba1 Ba 0.000 0.000 0.000
Mn1 Mn 0.500 0.000 0.500
Re1 Re 0.296 0.500 0.621

Repeat the first record exactly.
# HfScAl3, optimized geometry, DFT PBE
# Total magnetization = 0.00 μB per cell
# VASP energy = -22.6 eV/cell
# Fermi-level density of states = 4.58 states/eV/cell
# Calculated formation energy = 94.0 kJ/mol of atoms
data_HfScAl3
_chemical_formula_sum 'Hf1 Sc1 Al3'
_symmetry_space_group_name_H-M 'P m -3 m'
_symmetry_Int_Tables_number 221
_symmetry_space_group_name_Hall '-P 4 2 3'
_cell_length_a 4.879
_cell_length_b 4.879
_cell_length_c 4.879
_cell_angle_alpha 90.00
_cell_angle_beta 90.00
_cell_angle_gamma 90.00
loop_
_atom_site_label
_atom_site_type_symbol
_atom_site_fract_x
_atom_site_fract_y
_atom_site_fract_z
Hf1 Hf 0.000 0.000 0.000
Sc1 Sc 0.500 0.500 0.500
Al1 Al 0.000 0.500 0.500

Copy entry 3 word for word.
# Tl4Ga2Pb3, optimized geometry, DFT PBE
# Total magnetization = 0.00 μB per cell
# VASP energy = -52.4 eV/cell
# Fermi-level density of states = 8.42 states/eV/cell
# Calculated formation energy = 4.7 kJ/mol of atoms
data_Tl4Ga2Pb3
_chemical_formula_sum 'Tl8 Ga4 Pb6'
_symmetry_space_group_name_H-M 'C 1 2/m 1'
_symmetry_Int_Tables_number 12
_cell_length_a 12.593
_cell_length_b 3.607
_cell_length_c 11.968
_cell_angle_alpha 90.00
_cell_angle_beta 108.14
_cell_angle_gamma 90.00
loop_
_symmetry_equiv_pos_as_xyz
'x,y,z'
'-x,-y,-z'
'-x,y,-z'
'x,-y,z'
'x+1/2,y+1/2,z'
'-x+1/2,-y+1/2,-z'
'-x+1/2,y+1/2,-z'
'x+1/2,-y+1/2,z'
loop_
_atom_site_label
_atom_site_type_symbol
_atom_site_fract_x
_atom_site_fract_y
_atom_site_fract_z
Tl1 Tl 0.019 0.000 0.344
Tl2 Tl 0.174 0.500 0.879
Ga1 Ga 0.151 0.500 0.206
Pb1 Pb 0.000 0.000 0.000
Pb2 Pb 0.189 0.500 0.587

The highest VASP energy belongs to which entry?
HfScAl3

What did the third record say?
# Tl4Ga2Pb3, optimized geometry, DFT PBE
# Total magnetization = 0.00 μB per cell
# VASP energy = -52.4 eV/cell
# Fermi-level density of states = 8.42 states/eV/cell
# Calculated formation energy = 4.7 kJ/mol of atoms
data_Tl4Ga2Pb3
_chemical_formula_sum 'Tl8 Ga4 Pb6'
_symmetry_space_group_name_H-M 'C 1 2/m 1'
_symmetry_Int_Tables_number 12
_cell_length_a 12.593
_cell_length_b 3.607
_cell_length_c 11.968
_cell_angle_alpha 90.00
_cell_angle_beta 108.14
_cell_angle_gamma 90.00
loop_
_symmetry_equiv_pos_as_xyz
'x,y,z'
'-x,-y,-z'
'-x,y,-z'
'x,-y,z'
'x+1/2,y+1/2,z'
'-x+1/2,-y+1/2,-z'
'-x+1/2,y+1/2,-z'
'x+1/2,-y+1/2,z'
loop_
_atom_site_label
_atom_site_type_symbol
_atom_site_fract_x
_atom_site_fract_y
_atom_site_fract_z
Tl1 Tl 0.019 0.000 0.344
Tl2 Tl 0.174 0.500 0.879
Ga1 Ga 0.151 0.500 0.206
Pb1 Pb 0.000 0.000 0.000
Pb2 Pb 0.189 0.500 0.587